No. 1
VASP calculation (GGA-PBE) on crystalline CaLa2Cu at its relaxed geometry.

abc: 5.4173 5.4173 4.1427
angles: 90.00 90.00 90.07
With the nearest neighbours (Å) after each atom.
Sites, in units of the cell vectors:
Ca 0.0000 0.0000 0.0000  8 La 3.41
La 0.0000 0.5000 0.5000  4 Cu 3.41, 4 Ca 3.41
La 0.5000 0.0000 0.5000  4 Cu 3.41, 4 Ca 3.41
Cu 0.5000 0.5000 0.0000  8 La 3.41

Total moment ... 0.000 μB/atom
Energy of formation ... 0.16 eV/atom
Polymorph energy (0 for the lowest one) ... 188 meV/atom
Crystal system ... orthorhombic
Electronic total energy ... -3.83 eV per atom
Space-group type ... Cmmm (65)

---

No. 2
VASP calculation (GGA-PBE) on crystalline LaGaNiPt3 at its relaxed geometry.

abc: 6.7186 6.7186 5.7376
angles: 90.00 90.00 119.76
With the nearest neighbours (Å) after each atom.
Sites, in units of the cell vectors:
La 0.2269 0.7731 0.7500  1 Ni 2.46
La 0.7731 0.2269 0.2500  1 Ni 2.46
Ga 0.1332 0.8668 0.2500  5 Pt 2.42-2.54
Ga 0.8668 0.1332 0.7500  5 Pt 2.42-2.54
Ni 0.4386 0.5614 0.7500  1 La 2.46, 5 Pt 2.53-2.56
Ni 0.5614 0.4386 0.2500  1 La 2.46, 5 Pt 2.53-2.56
Pt 0.2103 0.2103 0.0000  2 Ni 2.53, 2 Ga 2.54
Pt 0.2103 0.2103 0.5000  2 Ni 2.53, 2 Ga 2.54
Pt 0.3413 0.6587 0.2500  1 Ga 2.42, 1 Ni 2.56
Pt 0.6587 0.3413 0.7500  1 Ga 2.42, 1 Ni 2.56
Pt 0.7897 0.7897 0.0000  2 Ni 2.53, 2 Ga 2.54
Pt 0.7897 0.7897 0.5000  2 Ni 2.53, 2 Ga 2.54

Total moment ... 0.000 μB/atom
Energy of formation ... -0.61 eV/atom
Crystal system ... orthorhombic
Electronic total energy ... -5.92 eV per atom
Space-group type ... Cmcm (63)

---

No. 3
VASP calculation (GGA-PBE) on crystalline InAg2Te at its relaxed geometry.

abc: 4.6614 4.6614 4.2816
angles: 90.00 90.00 90.00
With the nearest neighbours (Å) after each atom.
Sites, in units of the cell vectors:
In 0.0000 0.0000 0.0000  8 Ag 3.16, 4 Te 3.30
Ag 0.0000 0.5000 0.5000  4 In 3.16, 4 Te 3.16, 4 Ag 3.30
Ag 0.5000 0.0000 0.5000  4 In 3.16, 4 Te 3.16, 4 Ag 3.30
Te 0.5000 0.5000 0.0000  8 Ag 3.16, 4 In 3.30

Raw formation energy ... 63 meV per atom
Total moment ... 0.000 μB/atom
Polymorph energy (0 for the lowest one) ... 55 meV/atom
Crystal system ... tetragonal
Electronic total energy ... -2.83 eV per atom
Space-group type ... P4/mmm (123)

---

No. 4
VASP calculation (GGA-PBE) on crystalline CrAg4Te at its relaxed geometry.

abc: 5.5698 5.5698 5.5698
angles: 60.00 60.00 60.00
With the nearest neighbours (Å) after each atom.
Sites, in units of the cell vectors:
Cr 0.0000 0.0000 0.0000  12 Ag 3.26, 4 Te 3.41
Ag 0.3744 0.3744 0.3744  6 Ag 2.77-2.80
Ag 0.3744 0.3744 0.8767  6 Ag 2.77-2.80
Ag 0.3744 0.8767 0.3744  6 Ag 2.77-2.80
Ag 0.8767 0.3744 0.3744  6 Ag 2.77-2.80
Te 0.7500 0.7500 0.7500  12 Ag 3.27, 4 Cr 3.41

Raw formation energy ... 282 meV per atom
Total moment ... 0.710 μB/atom
Crystal system ... cubic
Electronic total energy ... -3.75 eV per atom
Space-group type ... F-43m (216)

---

No. 5
VASP calculation (GGA-PBE) on crystalline Sm4Dy2Cd at its relaxed geometry.

abc: 8.5193 8.5193 8.5818
angles: 116.66 116.66 23.93
With the nearest neighbours (Å) after each atom.
Sites, in units of the cell vectors:
Sm 0.0822 0.0822 0.2033  5 Sm 3.30-3.60, 3 Dy 3.37-3.46, 1 Cd 3.40
Sm 0.3691 0.3691 0.1089  2 Cd 3.53, 8 Sm 3.53-3.95, 3 Dy 3.57-3.64
Sm 0.6309 0.6309 0.8911  2 Cd 3.53, 8 Sm 3.53-3.95, 3 Dy 3.57-3.64
Sm 0.9178 0.9178 0.7967  5 Sm 3.30-3.60, 3 Dy 3.37-3.46, 1 Cd 3.40
Dy 0.2173 0.2173 0.6394  1 Cd 3.25, 5 Sm 3.37-3.57, 4 Dy 3.52-3.53
Dy 0.7827 0.7827 0.3606  1 Cd 3.25, 5 Sm 3.37-3.57, 4 Dy 3.52-3.53
Cd 0.0000 0.0000 0.5000  2 Dy 3.25, 6 Sm 3.40-3.53, 2 Cd 3.53

Total moment ... 0.000 μB/atom
Energy of formation ... 0.03 eV/atom
Crystal system ... monoclinic
Electronic total energy ... -4.11 eV per atom
Space-group type ... C2/m (12)

---

No. 6
VASP calculation (GGA-PBE) on crystalline Li2AsW at its relaxed geometry.

abc: 2.6635 2.6635 8.7480
angles: 90.00 90.00 90.00
With the nearest neighbours (Å) after each atom.
Sites, in units of the cell vectors:
Li 0.0000 0.0000 0.2313  4 Li 2.66, 4 As 2.76
Li 0.0000 0.0000 0.7687  4 Li 2.66, 4 As 2.76
As 0.5000 0.5000 0.0000  4 As 2.66, 8 Li 2.76
W 0.5000 0.5000 0.5000  4 W 2.66

Total moment ... 0.000 μB/atom
Energy of formation ... 0.13 eV/atom
Crystal system ... tetragonal
Electronic total energy ... -5.23 eV per atom
Space-group type ... P4/mmm (123)

---

No. 7
VASP calculation (GGA-PBE) on crystalline Hg2RhCl at its relaxed geometry.

abc: 5.0249 5.0249 3.3307
angles: 90.00 90.00 110.16
With the nearest neighbours (Å) after each atom.
Sites, in units of the cell vectors:
Hg 0.0000 0.5000 0.0000  2 Hg 2.88, 4 Cl 3.01, 4 Rh 3.01
Hg 0.5000 0.0000 0.0000  2 Hg 2.88, 4 Cl 3.01, 4 Rh 3.01
Rh 0.0000 0.0000 0.5000  2 Cl 2.88, 8 Hg 3.01
Cl 0.5000 0.5000 0.5000  2 Rh 2.88, 8 Hg 3.01

Raw formation energy ... 182 meV per atom
Total moment ... 0.000 μB/atom
Polymorph energy (0 for the lowest one) ... 178 meV/atom
Crystal system ... orthorhombic
Electronic total energy ... -2.27 eV per atom
Space-group type ... Cmmm (65)

---

No. 8
VASP calculation (GGA-PBE) on crystalline CuAg2F4 at its relaxed geometry.

abc: 6.7157 6.7157 6.7157
angles: 144.85 144.85 50.56
With the nearest neighbours (Å) after each atom.
Sites, in units of the cell vectors:
Cu 0.0000 0.0000 0.0000  6 F 2.00-2.03
Ag 0.3538 0.3538 0.0000  1 F 2.29
Ag 0.6462 0.6462 0.0000  1 F 2.29
F 0.0000 0.5000 0.5000  2 Cu 2.03
F 0.1649 0.1649 0.0000  1 Cu 2.00
F 0.5000 0.0000 0.5000  2 Cu 2.03
F 0.8351 0.8351 0.0000  1 Cu 2.00

Raw formation energy ... -1184 meV per atom
Total moment ... 0.143 μB/atom
Polymorph energy (0 for the lowest one) ... 2 meV/atom
Crystal system ... tetragonal
Electronic total energy ... -3.65 eV per atom
Space-group type ... I4/mmm (139)

---

No. 9
VASP calculation (GGA-PBE) on crystalline K2HgCl2 at its relaxed geometry.

abc: 8.9840 8.9840 3.9460
angles: 90.00 90.00 90.00
With the nearest neighbours (Å) after each atom.
Sites, in units of the cell vectors:
K 0.1508 0.3492 0.0000  6 Cl 3.25-3.32
K 0.3492 0.8492 0.0000  6 Cl 3.25-3.32
K 0.6508 0.1508 0.0000  6 Cl 3.25-3.32
K 0.8492 0.6508 0.0000  6 Cl 3.25-3.32
Hg 0.0000 0.0000 0.5000  4 Cl 3.44
Hg 0.5000 0.5000 0.5000  4 Cl 3.44
Cl 0.1458 0.6458 0.5000  6 K 3.25-3.32, 2 Hg 3.44
Cl 0.3542 0.1458 0.5000  6 K 3.25-3.32, 2 Hg 3.44
Cl 0.6458 0.8542 0.5000  6 K 3.25-3.32, 2 Hg 3.44
Cl 0.8542 0.3542 0.5000  6 K 3.25-3.32, 2 Hg 3.44

Raw formation energy ... -1442 meV per atom
Total moment ... 0.000 μB/atom
Polymorph energy (0 for the lowest one) ... 0 meV/atom
Crystal system ... tetragonal
Electronic total energy ... -2.68 eV per atom
Space-group type ... P4/mbm (127)

---

No. 10
VASP calculation (GGA-PBE) on crystalline NaMg2SnS4 at its relaxed geometry.

abc: 6.5837 6.5837 6.5837
angles: 131.20 131.20 71.49
With the nearest neighbours (Å) after each atom.
Sites, in units of the cell vectors:
Na 0.0000 0.0000 0.0000  6 S 2.72-2.81
Mg 0.5000 0.5000 0.0000  6 S 2.53-2.72
Mg 0.7500 0.2500 0.5000  6 S 2.63-2.72
Sn 0.2500 0.7500 0.5000  6 S 2.71-2.72
S 0.2629 0.2629 0.0000  3 Mg 2.53-2.72, 2 Sn 2.72, 1 Na 2.81
S 0.5037 0.0037 0.5000  3 Mg 2.63-2.72, 1 Sn 2.71, 2 Na 2.72
S 0.7371 0.7371 0.0000  3 Mg 2.53-2.72, 2 Sn 2.72, 1 Na 2.81
S 0.9963 0.4963 0.5000  3 Mg 2.63-2.72, 1 Sn 2.71, 2 Na 2.72

Raw formation energy ... -1009 meV per atom
Total moment ... 0.000 μB/atom
Crystal system ... tetragonal
Electronic total energy ... -4.14 eV per atom
Space-group type ... I-4m2 (119)

---

No. 11
VASP calculation (GGA-PBE) on crystalline NiAs2Br at its relaxed geometry.

abc: 6.9314 6.9314 6.9314
angles: 151.94 146.24 44.45
With the nearest neighbours (Å) after each atom.
Sites, in units of the cell vectors:
Ni 0.0000 0.0000 0.0000  6 As 2.48-2.63, 2 Br 2.66
As 0.1421 0.6421 0.5000  2 Ni 2.48, 2 As 2.56
As 0.5191 0.5191 0.0000  2 As 2.56, 4 Ni 2.63
Br 0.8392 0.3392 0.5000  2 Ni 2.66

Raw formation energy ... 40 meV per atom
Total moment ... 0.000 μB/atom
Polymorph energy (0 for the lowest one) ... 218 meV/atom
Crystal system ... orthorhombic
Electronic total energy ... -4.15 eV per atom
Space-group type ... Imm2 (44)

---

No. 12
VASP calculation (GGA-PBE) on crystalline Rb3NaSi2O6 at its relaxed geometry.

abc: 6.1586 6.1586 7.4174
angles: 90.00 90.00 120.00
With the nearest neighbours (Å) after each atom.
Sites, in units of the cell vectors:
Rb 0.0000 0.0000 0.0000  6 O 2.86
Rb 0.3333 0.6667 0.7256  6 O 3.09, 1 Si 3.32
Rb 0.6667 0.3333 0.2744  6 O 3.09, 1 Si 3.32
Na 0.0000 0.0000 0.5000  6 O 2.56
Si 0.3333 0.6667 0.2777  3 O 1.59
Si 0.6667 0.3333 0.7223  3 O 1.59
O 0.1844 0.3688 0.2801  1 Si 1.59
O 0.1844 0.8156 0.2801  1 Si 1.59
O 0.3688 0.1844 0.7199  1 Si 1.59
O 0.6312 0.8156 0.2801  1 Si 1.59
O 0.8156 0.1844 0.7199  1 Si 1.59
O 0.8156 0.6312 0.7199  1 Si 1.59

Raw formation energy ... -2066 meV per atom
Total moment ... 0.000 μB/atom
Crystal system ... trigonal
Electronic total energy ... -5.80 eV per atom
Space-group type ... P-3m1 (164)

---

No. 13
VASP calculation (GGA-PBE) on crystalline HgTeRu at its relaxed geometry.

abc: 3.6179 6.4606 6.8524
angles: 109.89 90.60 90.26
With the nearest neighbours (Å) after each atom.
Sites, in units of the cell vectors:
Hg 0.2459 0.3588 0.3025  3 Ru 2.80-2.89
Hg 0.7541 0.6412 0.6975  3 Ru 2.80-2.89
Te 0.2567 0.1724 0.7963  3 Ru 2.57-2.60
Te 0.7433 0.8276 0.2037  3 Ru 2.57-2.60
Ru 0.2484 0.8199 0.4670  3 Te 2.57-2.60, 1 Hg 2.80, 2 Ru 2.86
Ru 0.7516 0.1801 0.5330  3 Te 2.57-2.60, 1 Hg 2.80, 2 Ru 2.86

Raw formation energy ... 105 meV per atom
Total moment ... 0.000 μB/atom
Polymorph energy (0 for the lowest one) ... 54 meV/atom
Crystal system ... triclinic
Electronic total energy ... -4.13 eV per atom
Space-group type ... P-1 (2)

---

No. 14
VASP calculation (GGA-PBE) on crystalline Pr8Ir3SCl3 at its relaxed geometry.

abc: 8.6080 8.6080 8.6080
angles: 58.94 58.94 58.94
With the nearest neighbours (Å) after each atom.
Sites, in units of the cell vectors:
Pr 0.2229 0.7486 0.7486  2 Ir 2.85, 1 S 3.01
Pr 0.2371 0.2371 0.2371  3 Ir 2.87, 3 Cl 3.19
Pr 0.2514 0.2514 0.7771  2 Ir 2.85, 1 S 3.01
Pr 0.2514 0.7771 0.2514  2 Ir 2.85, 1 S 3.01
Pr 0.7486 0.2229 0.7486  2 Ir 2.85, 1 S 3.01
Pr 0.7486 0.7486 0.2229  2 Ir 2.85, 1 S 3.01
Pr 0.7629 0.7629 0.7629  3 Ir 2.87, 3 Cl 3.19
Pr 0.7771 0.2514 0.2514  2 Ir 2.85, 1 S 3.01
Ir 0.0000 0.0000 0.5000  6 Pr 2.85-2.87
Ir 0.0000 0.5000 0.0000  6 Pr 2.85-2.87
Ir 0.5000 0.0000 0.0000  6 Pr 2.85-2.87
S 0.5000 0.5000 0.5000  6 Pr 3.01
Cl 0.0000 0.5000 0.5000  6 Pr 3.19-3.20
Cl 0.5000 0.0000 0.5000  6 Pr 3.19-3.20
Cl 0.5000 0.5000 0.0000  6 Pr 3.19-3.20

Raw formation energy ... -1148 meV per atom
Total moment ... 0.000 μB/atom
Crystal system ... trigonal
Electronic total energy ... -6.11 eV per atom
Space-group type ... R-3m (166)

---

No. 15
VASP calculation (GGA-PBE) on crystalline ZrScHg4 at its relaxed geometry.

abc: 5.7720 5.7720 5.7720
angles: 60.00 60.00 60.00
With the nearest neighbours (Å) after each atom.
Sites, in units of the cell vectors:
Zr 0.0000 0.0000 0.0000  12 Hg 3.38, 4 Sc 3.53
Sc 0.2500 0.2500 0.2500  12 Hg 3.38, 4 Zr 3.53
Hg 0.1248 0.6251 0.6251  6 Hg 2.88-2.89
Hg 0.6251 0.1248 0.6251  6 Hg 2.88-2.89
Hg 0.6251 0.6251 0.1248  6 Hg 2.88-2.89
Hg 0.6251 0.6251 0.6251  6 Hg 2.88-2.89

Total moment ... 0.336 μB/atom
Energy of formation ... 0.07 eV/atom
Polymorph energy (0 for the lowest one) ... 254 meV/atom
Crystal system ... cubic
Electronic total energy ... -2.62 eV per atom
Space-group type ... F-43m (216)

---

No. 16
VASP calculation (GGA-PBE) on crystalline AgHgPt2 at its relaxed geometry.

abc: 4.9993 4.9993 2.9290
angles: 90.00 90.00 108.64
With the nearest neighbours (Å) after each atom.
Sites, in units of the cell vectors:
Ag 0.0000 0.0000 0.0000  8 Pt 2.90, 2 Hg 2.92, 2 Ag 2.93
Hg 0.5000 0.5000 0.0000  8 Pt 2.90, 2 Ag 2.92, 2 Hg 2.93
Pt 0.0000 0.5000 0.5000  4 Hg 2.90, 4 Ag 2.90, 4 Pt 2.92-2.93
Pt 0.5000 0.0000 0.5000  4 Hg 2.90, 4 Ag 2.90, 4 Pt 2.92-2.93

Total moment ... 0.000 μB/atom
Energy of formation ... 0.04 eV/atom
Crystal system ... orthorhombic
Electronic total energy ... -3.77 eV per atom
Space-group type ... Cmmm (65)

---

No. 17
VASP calculation (GGA-PBE) on crystalline CdSbW4 at its relaxed geometry.

abc: 5.4123 5.4123 5.4123
angles: 60.00 60.00 60.00
With the nearest neighbours (Å) after each atom.
Sites, in units of the cell vectors:
Cd 0.0000 0.0000 0.0000  12 W 3.17, 4 Sb 3.31
Sb 0.7500 0.7500 0.7500  12 W 3.18, 4 Cd 3.31
W 0.3732 0.3732 0.3732  6 W 2.67-2.74
W 0.3732 0.3732 0.8804  6 W 2.67-2.74
W 0.3732 0.8804 0.3732  6 W 2.67-2.74
W 0.8804 0.3732 0.3732  6 W 2.67-2.74

Raw formation energy ... 732 meV per atom
Total moment ... 0.000 μB/atom
Crystal system ... cubic
Electronic total energy ... -8.74 eV per atom
Space-group type ... F-43m (216)

---

No. 18
VASP calculation (GGA-PBE) on crystalline Hf2ThN at its relaxed geometry.

abc: 9.0342 9.0342 9.0342
angles: 20.74 20.74 20.74
With the nearest neighbours (Å) after each atom.
Sites, in units of the cell vectors:
Hf 0.1203 0.1203 0.1203  3 N 2.24
Hf 0.8797 0.8797 0.8797  3 N 2.24
Th 0.0000 0.0000 0.0000  2 Hf 3.19, 6 Th 3.25
N 0.5000 0.5000 0.5000  6 Hf 2.24

Raw formation energy ... -592 meV per atom
Total moment ... 0.001 μB/atom
Polymorph energy (0 for the lowest one) ... 0 meV/atom
Crystal system ... trigonal
Electronic total energy ... -9.51 eV per atom
Space-group type ... R-3m (166)

---

No. 19
VASP calculation (GGA-PBE) on crystalline BeHgAs at its relaxed geometry.

abc: 3.8827 6.0320 6.3224
angles: 62.20 74.70 76.83
With the nearest neighbours (Å) after each atom.
Sites, in units of the cell vectors:
Be 0.1642 0.1823 0.4098  3 As 2.23-2.35, 1 Be 2.44
Be 0.8358 0.8177 0.5902  3 As 2.23-2.35, 1 Be 2.44
Hg 0.0136 0.6784 0.2461  2 Be 2.56-2.65, 1 As 2.68
Hg 0.9864 0.3216 0.7539  2 Be 2.56-2.65, 1 As 2.68
As 0.2580 0.8196 0.7695  3 Be 2.23-2.35
As 0.7420 0.1804 0.2305  3 Be 2.23-2.35

Total moment ... 0.000 μB/atom
Energy of formation ... 0.08 eV/atom
Polymorph energy (0 for the lowest one) ... 31 meV/atom
Crystal system ... triclinic
Electronic total energy ... -2.81 eV per atom
Space-group type ... P-1 (2)

---

No. 20
VASP calculation (GGA-PBE) on crystalline Tm3TeP2Rh9 at its relaxed geometry.

abc: 6.0334 6.0334 9.2520
angles: 90.00 90.00 120.00
With the nearest neighbours (Å) after each atom.
Sites, in units of the cell vectors:
Tm 0.0000 0.0000 0.0000  12 Rh 2.97-3.02
Tm 0.3333 0.6667 0.7399  9 Rh 2.97-3.02
Tm 0.6667 0.3333 0.2601  9 Rh 2.97-3.02
Te 0.0000 0.0000 0.5000  6 Rh 2.63
P 0.3333 0.6667 0.1606  6 Rh 2.17-2.29
P 0.6667 0.3333 0.8394  6 Rh 2.17-2.29
Rh 0.0000 0.5000 0.0000  2 P 2.29
Rh 0.1509 0.3019 0.2721  1 P 2.17
Rh 0.1509 0.8491 0.2721  1 P 2.17
Rh 0.3019 0.1509 0.7279  1 P 2.17
Rh 0.5000 0.0000 0.0000  2 P 2.29
Rh 0.5000 0.5000 0.0000  2 P 2.29
Rh 0.6981 0.8491 0.2721  1 P 2.17
Rh 0.8491 0.1509 0.7279  1 P 2.17
Rh 0.8491 0.6981 0.7279  1 P 2.17

Raw formation energy ... -671 meV per atom
Total moment ... 0.000 μB/atom
Crystal system ... trigonal
Electronic total energy ... -6.91 eV per atom
Space-group type ... P-3m1 (164)